No. 1
Entry from Alexandria: an optimized crystal structure of MgOsRh (PBE-GGA).

The calculation puts the energy relative to the lowest polymorph listed for this composition at 138 meV/atom. The final energy is -0.4871 Ry per atom.

CIF file:
```
data_MgOsRh
_chemical_formula_sum 'Mg2 Os2 Rh2'
_cell_length_a 2.7568
_cell_length_b 3.9640
_cell_length_c 8.1549
_cell_angle_alpha 90.00
_cell_angle_beta 90.00
_cell_angle_gamma 90.00
_symmetry_space_group_name_H-M 'I m m 2'
_symmetry_Int_Tables_number 44
loop_
_symmetry_equiv_pos_as_xyz
'x,y,z'
'-x,-y,z'
'-x,y,z'
'x,-y,z'
'x+1/2,y+1/2,z+1/2'
'-x+1/2,-y+1/2,z+1/2'
'-x+1/2,y+1/2,z+1/2'
'x+1/2,-y+1/2,z+1/2'
loop_
_atom_site_label
_atom_site_type_symbol
_atom_site_fract_x
_atom_site_fract_y
_atom_site_fract_z
Mg1 Mg 0.0000 0.0000 0.0000
Os1 Os 0.0000 0.0000 0.3299
Rh1 Rh 0.0000 0.0000 0.6687
```



No. 2
Entry from Alexandria: an optimized crystal structure of Y2VRu (PBE-GGA).

The calculation puts the energy relative to the lowest polymorph listed for this composition at 74 meV/atom. The final energy is -0.5782 Ry per atom.

CIF file:
```
data_Y2VRu
_chemical_formula_sum 'Y4 V2 Ru2'
_cell_length_a 3.3855
_cell_length_b 4.9793
_cell_length_c 10.2605
_cell_angle_alpha 90.00
_cell_angle_beta 90.00
_cell_angle_gamma 90.00
_symmetry_space_group_name_H-M 'I m m 2'
_symmetry_Int_Tables_number 44
loop_
_symmetry_equiv_pos_as_xyz
'x,y,z'
'-x,-y,z'
'-x,y,z'
'x,-y,z'
'x+1/2,y+1/2,z+1/2'
'-x+1/2,-y+1/2,z+1/2'
'-x+1/2,y+1/2,z+1/2'
'x+1/2,-y+1/2,z+1/2'
loop_
_atom_site_label
_atom_site_type_symbol
_atom_site_fract_x
_atom_site_fract_y
_atom_site_fract_z
Y1 Y 0.0000 0.0000 0.0000
Y2 Y 0.0000 0.5000 0.2151
V1 V 0.0000 0.0000 0.4198
Ru1 Ru 0.0000 0.5000 0.7543
```